No. 1
Material: CsPrS2
Method: DFT, meta-GGA SCAN
State: PBEsol geometry

Results
- uncorrected energy (eV per atom) = -27.1885
- total magnetization (μB per formula unit) = 0.00
- formation energy without anion corrections (kJ/mol of atoms) = -201.7

Cell: 8.3328 8.3328 8.3328 Å, 29.28 29.28 29.28°
Last column: nearest neighbours and their distance in Å.
Sites, in units of the cell vectors:
Cs 0.0000 0.0000 0.0000  6 S 3.47
Pr 0.5000 0.5000 0.5000  6 S 2.86
S 0.2300 0.2300 0.2300  3 Pr 2.86
S 0.7700 0.7700 0.7700  3 Pr 2.86


No. 2
Material: Ca2Ag3
Method: DFT, meta-GGA SCAN
State: PBEsol geometry

Results
- uncorrected energy (eV per atom) = -22.9224
- formation energy from the elements (meV per atom) = -237
- total magnetization (μB per formula unit) = 0.00

Cell: 6.9001 6.9001 6.9001 Å, 39.74 39.74 39.74°
Last column: nearest neighbours and their distance in Å.
Sites, in units of the cell vectors:
Ca 0.0914 0.0914 0.0914  9 Ag 3.06-3.35
Ca 0.9086 0.9086 0.9086  9 Ag 3.06-3.35
Ag 0.3451 0.3451 0.3451  4 Ag 2.74-2.95
Ag 0.5000 0.5000 0.5000  2 Ag 2.95, 6 Ca 3.06
Ag 0.6549 0.6549 0.6549  4 Ag 2.74-2.95